Run a
VASP calculation (PBE) on a relaxed LaZrIO2 crystal.

Cell lengths 4.298, 4.298, 5.838 Å; angles 90.00, 90.00, 90.00 degrees
Space group P4/mmm (No. 123)
Inequivalent atoms, fractional coordinates:
1 La 0.000 0.000 0.000 (multiplicity 1)
2 Zr 0.500 0.500 0.500 (multiplicity 1)
3 I 0.500 0.500 0.000 (multiplicity 1)
4 O 0.000 0.500 0.500 (multiplicity 2)

Summary:
Density of states at the Fermi level in states/eV/f.u.: 4.97

Run b
VASP calculation (PBE) on a relaxed LaZrIO2 crystal.

Cell lengths 4.455, 4.455, 6.490 Å; angles 90.00, 90.00, 90.00 degrees
Space group P4/mmm (No. 123)
Inequivalent atoms, fractional coordinates:
1 La 0.000 0.000 0.000 (multiplicity 1)
2 Zr 0.500 0.500 0.500 (multiplicity 1)
3 I 0.000 0.000 0.500 (multiplicity 1)
4 O 0.000 0.500 0.000 (multiplicity 2)

Summary:
Density of states at the Fermi level in states/eV/f.u.: 5.84

Going by the computed energies, the most stable comes first: run a, run b.